Entry 1:
Rb4Pa3RhS8 after structural relaxation, computed with PBE.

Uncorrected formation energy = -1.2632 eV/atom
D(E_F) = 13.78 states/eV/cell

a = 7.645 Å, b = 9.085 Å, c = 8.206 Å
α = 116.70°, β = 117.76°, γ = 90.00°
Last column: magnetic moment on the atom in μB.
Sites, in units of the cell vectors:
Rb 0.500 0.000 0.000  0.00
Rb 0.500 0.000 0.500  0.00
Rb 0.000 0.000 0.000  0.00
Rb 0.000 0.000 0.500  0.00
Pa 0.500 0.500 0.000  0.99
Pa 0.500 0.500 0.500  1.10
Pa 0.000 0.500 0.500  1.10
Rh 0.000 0.500 0.000  0.10
S 0.203 0.672 0.949  -0.02
S 0.265 0.721 0.530  -0.02
S 0.277 0.305 0.555  -0.04
S 0.746 0.672 0.949  -0.02
S 0.254 0.328 0.051  -0.02
S 0.723 0.695 0.445  -0.04
S 0.735 0.279 0.470  -0.02
S 0.797 0.328 0.051  -0.02

***

Entry 2:
Ru3Au after structural relaxation, computed with PBE.

Distance to the lowest polymorph of the same formula = 161 meV per atom
Calculated formation energy = 332 meV per atom
D(E_F) = 4.93 states/eV/cell

a = 4.768 Å, b = 4.768 Å, c = 11.017 Å
α = 149.82°, β = 149.82°, γ = 33.60°
Sites, in units of the cell vectors:
Au 0.000 0.000 0.000
Ru 0.027 0.027 0.270
Ru 0.000 0.000 0.500
Ru 0.973 0.973 0.730

***

Entry 3:
LiTa2SiSe after structural relaxation, computed with PBE.

Uncorrected formation energy = 0.8539 eV/atom
D(E_F) = 3.98 states/eV/cell

a = 4.627 Å, b = 3.784 Å, c = 4.627 Å
α = 90.00°, β = 90.00°, γ = 90.00°
Sites, in units of the cell vectors:
Si 0.000 0.500 0.000
Li 0.000 0.000 0.000
Se 0.500 0.500 0.500
Ta 0.000 0.000 0.500
Ta 0.500 0.000 0.000

***

Entry 4:
Co2Se after structural relaxation, computed with PBE.

Uncorrected formation energy = -0.1307 eV/atom
Distance to the lowest polymorph of the same formula = 0 meV per atom
D(E_F) = 4.75 states/eV/cell

a = 8.045 Å, b = 8.045 Å, c = 3.593 Å
α = 90.00°, β = 90.00°, γ = 154.48°
Last column: magnetic moment on the atom in μB.
Sites, in units of the cell vectors:
Co 0.942 0.058 0.000  0.97
Co 0.338 0.662 0.000  1.26
Co 0.440 0.560 0.500  1.26
Co 0.836 0.164 0.500  0.97
Se 0.738 0.262 0.000  -0.06
Se 0.040 0.960 0.500  -0.06

***

Entry 5:
Pr2Sm3PuN6 after structural relaxation, computed with PBE.

Uncorrected formation energy = -1.3738 eV/atom
D(E_F) = 7.40 states/eV/cell

a = 6.232 Å, b = 6.232 Å, c = 6.221 Å
α = 99.64°, β = 99.64°, γ = 119.95°
Last column: magnetic moment on the atom in μB.
Sites, in units of the cell vectors:
Pr 0.334 0.666 0.000  0.06
Pr 0.666 0.334 0.000  0.06
Sm 0.165 0.835 0.500  0.05
Sm 0.835 0.165 0.500  0.05
Sm 0.500 0.500 0.500  0.05
Pu 0.000 0.000 0.000  4.34
N 0.919 0.607 0.755  -0.08
N 0.768 0.768 0.247  -0.07
N 0.081 0.393 0.245  -0.08
N 0.607 0.919 0.755  -0.08
N 0.232 0.232 0.753  -0.07
N 0.393 0.081 0.245  -0.08

***

Entry 6:
MoIr3 after structural relaxation, computed with PBE.

Distance to the lowest polymorph of the same formula = 98 meV per atom
Calculated formation energy = -238 meV per atom
D(E_F) = 2.62 states/eV/cell

a = 2.773 Å, b = 4.413 Å, c = 4.817 Å
α = 90.00°, β = 90.00°, γ = 90.00°
Sites, in units of the cell vectors:
Mo 0.000 0.500 0.328
Ir 0.000 0.000 0.997
Ir 0.500 0.000 0.504
Ir 0.500 0.500 0.837

***

Entry 7:
ZnIr2Pt after structural relaxation, computed with PBE.

Calculated formation energy = -107 meV per atom
D(E_F) = 3.96 states/eV/cell

a = 8.972 Å, b = 8.972 Å, c = 8.972 Å
α = 17.78°, β = 17.78°, γ = 17.78°
Sites, in units of the cell vectors:
Ir 0.000 0.000 0.000
Ir 0.253 0.253 0.253
Pt 0.498 0.498 0.498
Zn 0.749 0.749 0.749

***

Entry 8:
CaBi2Pd5 after structural relaxation, computed with PBE.

Distance to the lowest polymorph of the same formula = 22 meV per atom
Calculated formation energy = -385 meV per atom
D(E_F) = 4.69 states/eV/cell

a = 5.051 Å, b = 5.051 Å, c = 7.136 Å
α = 110.72°, β = 110.72°, γ = 90.00°
Sites, in units of the cell vectors:
Ca 0.000 0.000 0.000
Bi 0.731 0.731 0.461
Bi 0.269 0.269 0.539
Pd 0.500 0.500 0.000
Pd 0.878 0.378 0.757
Pd 0.378 0.878 0.757
Pd 0.122 0.622 0.243
Pd 0.622 0.122 0.243

***

Entry 9:
Zr5GaCo2 after structural relaxation, computed with PBE.

Calculated formation energy = -304 meV per atom
D(E_F) = 16.80 states/eV/cell

a = 7.185 Å, b = 7.185 Å, c = 7.774 Å
α = 117.53°, β = 117.53°, γ = 90.00°
Sites, in units of the cell vectors:
Zr 0.518 0.699 0.717
Zr 0.801 0.982 0.283
Zr 0.000 0.000 0.000
Zr 0.500 0.500 0.000
Zr 0.199 0.018 0.717
Zr 0.699 0.199 0.717
Zr 0.018 0.518 0.717
Zr 0.301 0.801 0.283
Zr 0.982 0.482 0.283
Zr 0.482 0.301 0.283
Ga 0.750 0.750 0.500
Ga 0.250 0.250 0.500
Co 0.127 0.373 0.000
Co 0.627 0.127 0.000
Co 0.373 0.873 0.000
Co 0.873 0.627 0.000

***

Entry 10:
Sn2SbPb2 after structural relaxation, computed with PBE.

Uncorrected formation energy = 0.1945 eV/atom
Distance to the lowest polymorph of the same formula = 97 meV per atom
D(E_F) = 4.80 states/eV/cell

a = 9.095 Å, b = 9.095 Å, c = 3.680 Å
α = 90.00°, β = 90.00°, γ = 90.00°
Sites, in units of the cell vectors:
Pb 0.353 0.853 0.000
Pb 0.853 0.647 0.000
Pb 0.647 0.147 0.000
Pb 0.147 0.353 0.000
Sb 0.000 0.000 0.000
Sb 0.500 0.500 0.000
Sn 0.153 0.653 0.500
Sn 0.653 0.847 0.500
Sn 0.847 0.347 0.500
Sn 0.347 0.153 0.500

***

Entry 11:
Mg2TaZn after structural relaxation, computed with PBE.

Calculated formation energy = 205 meV per atom
D(E_F) = 2.04 states/eV/cell

a = 4.079 Å, b = 4.079 Å, c = 4.284 Å
α = 90.00°, β = 90.00°, γ = 90.00°
Sites, in units of the cell vectors:
Mg 0.000 0.000 0.000
Mg 0.500 0.500 0.000
Ta 0.500 0.000 0.500
Zn 0.000 0.500 0.500